# Rb2TlAg2

A geometry-optimized Rb2TlAg2 structure (PBE-GGA, Alexandria).

Results
formation energy: 4.9 kJ/mol of formula units
distance to the lowest polymorph of the same formula: 0.000 eV/f.u.
theoretical density: 5.44 g/cm3
space-group type: C2/c (15)

Unit cell a=7.058 b=6.796 c=9.026 alpha=101.05 beta=90.00 gamma=121.28
Element x y z (fractional)
Tl1 0.101 0.000 0.750
Tl2 0.899 0.000 0.250
Rb1 0.510 0.290 0.137
Rb2 0.490 0.710 0.863
Rb3 0.780 0.290 0.637
Rb4 0.220 0.710 0.363
Ag1 0.285 0.285 0.501
Ag2 0.715 0.715 0.499
Ag3 0.999 0.285 0.001
Ag4 0.001 0.715 0.999